VASP calculation (PBE) on a geometry-optimized MgTlB structure.

Structure (POSCAR):
```
MgTlB
1.0
3.1403 0.0000 0.0000
-0.0014 3.5212 0.0000
-0.0393 -1.7475 10.2413
Mg Tl B
2 2 2
Cartesian
0.7644 0.8872 3.6860 Mg
2.3353 0.8865 6.5554 Mg
0.7600 -0.8637 8.9021 Tl
2.3397 2.6375 1.3392 Tl
0.7646 -0.8732 5.3361 B
2.3350 2.6470 4.9052 B
```

VASP calculation (PBE) on a geometry-optimized MgTlB2 structure.

Structure (POSCAR):
```
MgTlB2
1.0
0.0000 3.1327 3.1327
3.1327 0.0000 3.1327
3.1327 3.1327 0.0000
Mg Tl B
1 1 2
Cartesian
0.0000 0.0000 0.0000 Mg
3.1327 3.1327 3.1327 Tl
1.5664 1.5664 1.5664 B
4.6991 4.6991 4.6991 B
```

**Energy above the lowest structure with this stoichiometry**: 0 meV/atom

VASP calculation (PBE) on a geometry-optimized MgTlB structure.

Structure (POSCAR):
```
MgTlB
1.0
3.1503 0.0000 0.0000
-0.0550 6.0688 0.0000
-1.5392 -0.2700 6.2632
Mg Tl B
2 2 2
Cartesian
-0.0045 0.9681 2.1338 Mg
1.5605 4.8307 4.1294 Mg
0.0713 1.3045 5.4609 Tl
1.4848 4.4942 0.8023 Tl
-0.0085 3.0535 3.2345 B
1.5646 2.7452 3.0287 B
```

VASP calculation (PBE) on a geometry-optimized Mg3TlB structure.

Structure (POSCAR):
```
Mg3TlB
1.0
4.6608 0.0000 0.0000
0.0000 4.6608 0.0000
0.0000 0.0000 4.6608
Mg Tl B
3 1 1
Cartesian
0.0000 0.0000 2.3304 Mg
0.0000 2.3304 0.0000 Mg
2.3304 0.0000 0.0000 Mg
2.3304 2.3304 2.3304 Tl
0.0000 0.0000 0.0000 B
```

**Energy above the lowest structure with this stoichiometry**: 0 meV/atom

VASP calculation (PBE) on a geometry-optimized Mg2TlB structure.

Structure (POSCAR):
```
Mg2TlB
1.0
0.0000 3.3349 3.3349
3.3349 0.0000 3.3349
3.3349 3.3349 0.0000
Mg Tl B
2 1 1
Cartesian
1.6675 1.6675 1.6675 Mg
5.0024 5.0024 5.0024 Mg
0.0000 0.0000 0.0000 Tl
3.3349 3.3349 3.3349 B
```

**Energy above the lowest structure with this stoichiometry**: 0 meV/atom

VASP calculation (PBE) on a geometry-optimized YMgTlB2 structure.

Structure (POSCAR):
```
YMgTlB2
1.0
4.7824 0.0000 0.0000
0.0000 4.7824 0.0000
0.0000 0.0000 6.0511
Y Mg Tl B
1 1 1 2
Cartesian
0.0000 0.0000 0.0000 Y
0.0000 0.0000 3.0256 Mg
2.3912 2.3912 3.0256 Tl
0.0000 2.3912 0.0000 B
2.3912 0.0000 0.0000 B
```

VASP calculation (PBE) on a geometry-optimized TmMgB14 structure.

Structure (POSCAR):
```
TmMgB14
1.0
-2.9658 5.3018 4.1080
2.9658 -5.3018 4.1080
2.9658 5.3018 -4.1080
Tm Mg B
2 2 28
Cartesian
0.0000 2.6509 1.1699 Tm
2.9658 2.6509 2.9380 Tm
1.4829 2.6509 -2.0540 Mg
1.4829 -2.6509 2.0540 Mg
2.9658 -3.8486 3.1002 B
1.4967 0.8209 -0.3786 B
4.4350 0.8209 -0.3786 B
2.9658 -0.8941 1.4067 B
2.9658 1.7694 0.2518 B
2.0198 0.6541 1.3288 B
3.9118 0.6541 1.3288 B
2.9658 -1.4531 3.1002 B
2.9658 4.4077 -1.4067 B
2.9658 3.5324 0.2518 B
1.4967 4.4809 -0.3786 B
1.4692 -0.8209 3.7294 B
2.0198 5.9558 -1.3288 B
0.9460 0.6541 2.7791 B
2.0198 4.6477 1.3288 B
0.9460 -0.6541 5.4368 B
1.4967 6.1227 0.3786 B
1.4692 0.8209 4.4865 B
0.0000 1.7694 3.8562 B
0.0000 0.8941 5.5147 B
0.0000 6.7549 1.0078 B
-0.9460 4.6477 2.7791 B
0.9460 4.6477 2.7791 B
0.0000 3.5324 3.8562 B
0.0000 6.1959 2.7013 B
-1.4692 4.4809 4.4865 B
1.4692 4.4809 4.4865 B
0.0000 9.1504 1.0078 B
```

VASP calculation (PBE) on a geometry-optimized TmMg2B6 structure.

Structure (POSCAR):
```
TmMg2B6
1.0
5.4321 0.0000 0.0000
-2.7161 4.7044 0.0000
0.0000 0.0000 3.6375
Tm Mg B
1 2 6
Cartesian
0.0000 0.0000 0.0000 Tm
0.0000 3.1363 0.0000 Mg
2.7161 1.5681 0.0000 Mg
-0.9159 1.5864 1.8187 B
-1.8002 3.1180 1.8187 B
1.8318 0.0000 1.8187 B
0.9159 1.5864 1.8187 B
3.6003 0.0000 1.8187 B
1.8002 3.1180 1.8187 B
```

VASP calculation (PBE) on a geometry-optimized TmMgB4 structure.

Structure (POSCAR):
```
TmMgB4
1.0
-1.6972 1.6972 5.5409
1.6972 -1.6972 5.5409
1.6972 1.6972 -5.5409
Tm Mg B
1 1 4
Cartesian
0.0000 0.0000 0.0000 Tm
0.0000 1.6972 2.7704 Mg
1.6972 0.0000 1.8997 B
1.6972 0.0000 3.6412 B
0.0000 0.0000 4.5876 B
0.0000 0.0000 6.4941 B
```

VASP calculation (PBE) on a geometry-optimized TmMgB12 structure.

Structure (POSCAR):
```
TmMgB12
1.0
4.0904 0.0000 0.0000
0.0000 4.0904 0.0000
0.0000 0.0000 8.2150
Tm Mg B
1 1 12
Cartesian
0.0000 0.0000 0.0000 Tm
0.0000 0.0000 4.1075 Mg
0.8161 2.0452 2.0441 B
0.8161 2.0452 6.1709 B
2.0452 0.8161 2.0441 B
2.0452 0.8161 6.1709 B
2.0452 2.0452 0.8132 B
2.0452 2.0452 3.2824 B
2.0452 2.0452 4.9326 B
2.0452 2.0452 7.4018 B
2.0452 3.2743 2.0441 B
2.0452 3.2743 6.1709 B
3.2743 2.0452 2.0441 B
3.2743 2.0452 6.1709 B
```

VASP calculation (PBE) on a geometry-optimized TmMgB structure.

Structure (POSCAR):
```
TmMgB
1.0
1.7446 -10.0749 0.0000
1.7446 10.0749 0.0000
0.0000 0.0000 3.2025
Tm Mg B
2 2 2
Cartesian
1.7446 8.5054 2.4019 Tm
1.7446 -8.5054 0.8006 Tm
1.7446 4.0283 2.4019 Mg
1.7446 -4.0283 0.8006 Mg
1.7446 0.3211 2.4019 B
1.7446 -0.3211 0.8006 B
```

VASP calculation (PBE) on a geometry-optimized MgUB12 structure.

Structure (POSCAR):
```
MgUB12
1.0
4.0825 0.0000 0.0000
0.0000 4.0825 0.0000
0.0000 0.0000 8.2230
Mg U B
1 1 12
Cartesian
0.0000 0.0000 0.0000 Mg
0.0000 0.0000 4.1115 U
0.8107 2.0413 2.0592 B
0.8107 2.0413 6.1638 B
2.0413 0.8107 2.0592 B
2.0413 0.8107 6.1638 B
2.0413 2.0413 0.8213 B
2.0413 2.0413 3.2991 B
2.0413 2.0413 4.9239 B
2.0413 2.0413 7.4017 B
2.0413 3.2718 2.0592 B
2.0413 3.2718 6.1638 B
3.2718 2.0413 2.0592 B
3.2718 2.0413 6.1638 B
```

In the order shown, the computed formation energy from the elements values come out to 0.09, 1.40, 0.21, 0.16, 0.65, 1.56, -0.22, -0.31, -0.20, -0.17, -0.31, -0.12 eV per atom.